Record 1
LiNiCl2 | PBE | optimized geometry

magnetization = 0.5 Bohr magnetons per cell
volume = 83.6 Å³ per cell
symmetry = C2/m, No. 12
raw formation energy = -75.4 kJ per mole of atoms

Cell and atoms, written as POSCAR:
```
LiNiCl2
1.0
3.327 -3.319 0.000
3.327 3.319 0.000
-1.704 0.000 3.787
Li Ni Cl
1 1 2
Cartesian
0.000 0.000 0.000
3.327 0.000 0.000
1.663 1.659 0.000
1.663 -1.659 0.000
```

---

Record 2
BiBPPb2 | PBE | optimized geometry

magnetization = 0.0 Bohr magnetons per cell
volume = 131.4 Å³ per cell
symmetry = P4/mmm, No. 123
formation energy from the elements = 0.5106 eV/atom

Cell and atoms, written as POSCAR:
```
BiBPPb2
1.0
6.017 0.000 0.000
0.000 6.017 0.000
0.000 0.000 3.630
Bi B P Pb
1 1 1 2
Cartesian
0.000 0.000 0.000
3.008 3.008 0.000
3.008 3.008 1.815
0.000 3.008 1.815
3.008 0.000 1.815
```

---

Record 3
Hf2Sb2N | PBE | optimized geometry

magnetization = 0.0 Bohr magnetons per cell
volume = 218.5 Å³ per cell
symmetry = C2/c, No. 15
raw formation energy = -79.2 kJ per mole of atoms

Cell and atoms, written as POSCAR:
```
Hf2Sb2N
1.0
4.603 -5.341 0.000
4.603 5.341 0.000
-3.378 0.000 4.445
Hf Sb N
4 4 2
Cartesian
1.070 0.834 0.820
-0.619 -0.834 3.042
6.447 0.834 1.402
4.758 -0.834 3.625
0.659 1.608 4.013
3.480 1.608 2.654
2.348 -1.608 1.790
5.169 -1.608 0.432
3.758 5.330 1.111
2.069 -5.330 3.334
```

---

Record 4
Ti3I7F | PBE | optimized geometry

magnetization = 4.0 Bohr magnetons per cell
volume = 387.3 Å³ per cell
symmetry = P3m1, No. 156
raw formation energy = -92.4 kJ per mole of atoms

Cell and atoms, written as POSCAR:
```
Ti3I7F
1.0
7.743 0.000 0.000
-3.872 6.706 0.000
0.000 0.000 7.459
Ti I F
3 7 1
Cartesian
-1.674 3.504 0.000
1.674 3.504 0.000
0.000 6.404 0.000
0.000 2.248 5.658
-1.924 5.582 5.658
1.927 1.113 1.568
1.924 5.582 5.658
3.872 2.235 5.978
5.816 1.113 1.568
3.872 4.480 1.568
0.000 4.471 1.053
```

---

Record 5
CeErCu4 | PBE | optimized geometry

magnetization = 0.7 Bohr magnetons per cell
volume = 102.7 Å³ per cell
symmetry = F-43m, No. 216
formation energy from the elements = -0.1193 eV/atom

Cell and atoms, written as POSCAR:
```
CeErCu4
1.0
0.000 3.717 3.717
3.717 0.000 3.717
3.717 3.717 0.000
Ce Er Cu
1 1 4
Cartesian
0.000 0.000 0.000
5.576 5.576 5.576
2.794 2.794 2.794
4.640 4.640 2.794
4.640 2.794 4.640
2.794 4.640 4.640
```

---

Record 6
LuNiHg | PBE | optimized geometry

magnetization = 0.0 Bohr magnetons per cell
volume = 69.1 Å³ per cell
symmetry = I4mm, No. 107
formation energy from the elements = 0.5310 eV/atom

Cell and atoms, written as POSCAR:
```
LuNiHg
1.0
-1.540 1.540 7.285
1.540 -1.540 7.285
1.540 1.540 -7.285
Lu Ni Hg
1 1 1
Cartesian
0.000 0.000 0.000
0.000 0.000 12.170
0.000 0.000 9.599
```

---

Record 7
Ca2HgO | PBE | optimized geometry

magnetization = 0.0 Bohr magnetons per cell
volume = 90.3 Å³ per cell
symmetry = Fm-3m, No. 225
raw formation energy = -65.5 kJ per mole of atoms

Cell and atoms, written as POSCAR:
```
Ca2HgO
1.0
0.000 3.561 3.561
3.561 0.000 3.561
3.561 3.561 0.000
Ca Hg O
2 1 1
Cartesian
1.781 1.781 1.781
5.342 5.342 5.342
0.000 0.000 0.000
3.561 3.561 3.561
```

---

Question: What is the formula in the second record?
Answer: BiBPPb2

---

Question: Among the records above, which one has the lowest volume?
Answer: LuNiHg